Entry 1:
This record from the Alexandria database describes crystalline Tb3Pm2Nd9 at its relaxed geometry. The functional is PBE.

a = 9.1847 Å, b = 9.1847 Å, c = 13.8616 Å
α = 90.00°, β = 90.00°, γ = 120.00°
Space group P6_3/m (No. 176)
Symmetry-distinct sites (fractional):
Tb 0.0785 0.2492 0.2500 [6 per cell]
Pm 0.3333 0.6667 0.1410 [4 per cell]
Nd 0.0814 0.4812 0.7500 [6 per cell]
Nd 0.1301 0.7239 0.5401 [12 per cell]

---

Entry 2:
This record from the Alexandria database describes crystalline TbPm2Nd at its relaxed geometry. The functional is PBE.

a = 4.289 Å, b = 4.289 Å, c = 7.397 Å
α = 90.00°, β = 90.00°, γ = 90.00°
Space group P4/mmm (No. 123)
Symmetry-distinct sites (fractional):
Tb 0.000 0.000 0.000 [1 per cell]
Pm 0.500 0.500 0.246 [2 per cell]
Nd 0.000 0.000 0.500 [1 per cell]

---

Entry 3:
This record from the Alexandria database describes crystalline Tb12PmNd7 at its relaxed geometry. The functional is PBE.

a = 11.391 Å, b = 11.391 Å, c = 11.391 Å
α = 90.00°, β = 90.00°, γ = 90.00°
Space group Im-3m (No. 229)
Symmetry-distinct sites (fractional):
Tb 0.000 0.249 0.249 [24 per cell]
Pm 0.000 0.000 0.000 [2 per cell]
Nd 0.000 0.000 0.500 [6 per cell]
Nd 0.250 0.250 0.250 [8 per cell]

---

Entry 4:
This record from the Alexandria database describes crystalline Tb3Pm3Nd5 at its relaxed geometry. The functional is PBE.

a = 9.8172 Å, b = 9.8172 Å, c = 5.5282 Å
α = 90.00°, β = 90.00°, γ = 120.00°
Space group P-62m (No. 189)
Symmetry-distinct sites (fractional):
Tb 0.0000 0.6337 0.0000 [3 per cell]
Pm 0.0000 0.4251 0.5000 [3 per cell]
Nd 0.0000 0.2676 0.0000 [3 per cell]
Nd 0.3333 0.6667 0.0000 [2 per cell]

---

Entry 5:
This record from the Alexandria database describes crystalline TbPmNd2 at its relaxed geometry. The functional is PBE.

a = 5.159 Å, b = 5.159 Å, c = 10.302 Å
α = 90.00°, β = 90.00°, γ = 90.00°
Space group I-4m2 (No. 119)
Symmetry-distinct sites (fractional):
Tb 0.000 0.000 0.000 [2 per cell]
Pm 0.000 0.500 0.250 [2 per cell]
Nd 0.000 0.000 0.500 [2 per cell]
Nd 0.000 0.500 0.750 [2 per cell]

---

Entry 6:
This record from the Alexandria database describes crystalline Tb4Pm7Nd2 at its relaxed geometry. The functional is PBE.

a = 6.274 Å, b = 8.116 Å, c = 9.598 Å
α = 65.04°, β = 83.74°, γ = 82.60°
Space group P-1 (No. 2)
Symmetry-distinct sites (fractional):
Tb 0.038 0.424 0.348 [2 per cell]
Tb 0.193 0.117 0.729 [2 per cell]
Pm 0.114 0.270 0.038 [2 per cell]
Pm 0.268 0.962 0.423 [2 per cell]
Pm 0.424 0.655 0.806 [2 per cell]
Pm 0.500 0.500 0.500 [1 per cell]
Nd 0.345 0.808 0.116 [2 per cell]

---

Entry 7:
This record from the Alexandria database describes crystalline Tb12Pm5Nd2 at its relaxed geometry. The functional is PBE.

a = 6.162 Å, b = 8.943 Å, c = 11.821 Å
α = 91.37°, β = 103.19°, γ = 96.33°
Space group P-1 (No. 2)
Symmetry-distinct sites (fractional):
Tb 0.013 0.237 0.213 [2 per cell]
Tb 0.092 0.878 0.113 [2 per cell]
Tb 0.255 0.604 0.315 [2 per cell]
Tb 0.332 0.443 0.828 [2 per cell]
Tb 0.351 0.074 0.734 [2 per cell]
Tb 0.417 0.711 0.634 [2 per cell]
Pm 0.000 0.500 0.000 [1 per cell]
Pm 0.166 0.344 0.525 [2 per cell]
Pm 0.459 0.192 0.049 [2 per cell]
Nd 0.214 0.973 0.421 [2 per cell]

---

Entry 8:
This record from the Alexandria database describes crystalline Tb4PmNd6 at its relaxed geometry. The functional is PBE.

a = 6.606 Å, b = 6.606 Å, c = 17.664 Å
α = 90.00°, β = 90.00°, γ = 90.00°
Space group I-42m (No. 121)
Symmetry-distinct sites (fractional):
Tb 0.186 0.186 0.177 [8 per cell]
Pm 0.000 0.000 0.000 [2 per cell]
Nd 0.000 0.500 0.000 [4 per cell]
Nd 0.179 0.179 0.365 [8 per cell]

---

Entry 9:
This record from the Alexandria database describes crystalline Tb3Pm3Nd8 at its relaxed geometry. The functional is PBE.

a = 5.732 Å, b = 10.969 Å, c = 15.415 Å
α = 90.00°, β = 90.00°, γ = 90.00°
Space group Immm (No. 71)
Symmetry-distinct sites (fractional):
Tb 0.000 0.000 0.000 [2 per cell]
Tb 0.000 0.500 0.318 [4 per cell]
Pm 0.000 0.000 0.500 [2 per cell]
Pm 0.000 0.305 0.500 [4 per cell]
Nd 0.000 0.158 0.275 [8 per cell]
Nd 0.000 0.338 0.104 [8 per cell]

---

Entry 10:
This record from the Alexandria database describes crystalline TbPm12Nd6 at its relaxed geometry. The functional is PBE.

a = 12.2727 Å, b = 12.2727 Å, c = 15.3233 Å
α = 90.00°, β = 90.00°, γ = 120.00°
Space group R-3 (No. 148, hexagonal axes)
Symmetry-distinct sites (fractional):
Tb 0.0000 0.0000 0.0000 [3 per cell]
Pm 0.0040 0.8310 0.1903 [18 per cell]
Pm 0.0477 0.8524 0.4166 [18 per cell]
Nd 0.0127 0.4226 0.6846 [18 per cell]

---

Entry 11:
This record from the Alexandria database describes crystalline Tb5Pm3Nd2 at its relaxed geometry. The functional is PBE.

a = 9.478 Å, b = 21.925 Å, c = 6.896 Å
α = 90.00°, β = 90.00°, γ = 90.00°
Space group Ibam (No. 72)
Symmetry-distinct sites (fractional):
Tb 0.000 0.000 0.250 [4 per cell]
Tb 0.000 0.249 0.250 [8 per cell]
Tb 0.089 0.125 0.000 [8 per cell]
Pm 0.000 0.500 0.250 [4 per cell]
Pm 0.248 0.130 0.500 [8 per cell]
Nd 0.101 0.374 0.500 [8 per cell]

---

Entry 12:
This record from the Alexandria database describes crystalline TbPm8Nd3 at its relaxed geometry. The functional is PBE.

a = 6.621 Å, b = 11.441 Å, c = 11.679 Å
α = 90.00°, β = 90.00°, γ = 90.00°
Space group Immm (No. 71)
Symmetry-distinct sites (fractional):
Tb 0.000 0.000 0.000 [2 per cell]
Pm 0.000 0.165 0.249 [8 per cell]
Pm 0.245 0.256 0.500 [8 per cell]
Nd 0.000 0.000 0.500 [2 per cell]
Nd 0.000 0.500 0.254 [4 per cell]

---

Entry 13:
This record from the Alexandria database describes crystalline TbPm12Nd6 at its relaxed geometry. The functional is PBE.

a = 16.5563 Å, b = 16.5563 Å, c = 8.5259 Å
α = 90.00°, β = 90.00°, γ = 120.00°
Space group R-3m (No. 166, hexagonal axes)
Symmetry-distinct sites (fractional):
Tb 0.0000 0.0000 0.0000 [3 per cell]
Pm 0.0000 0.3790 0.5000 [18 per cell]
Pm 0.0933 0.5466 0.8145 [18 per cell]
Nd 0.0849 0.1698 0.6462 [18 per cell]

---

Entry 14:
This record from the Alexandria database describes crystalline Tb3PmNd3 at its relaxed geometry. The functional is PBE.

a = 8.7828 Å, b = 8.7828 Å, c = 22.1234 Å
α = 90.00°, β = 90.00°, γ = 120.00°
Space group R-3 (No. 148, hexagonal axes)
Symmetry-distinct sites (fractional):
Tb 0.0042 0.7716 0.0583 [18 per cell]
Pm 0.0000 0.0000 0.3456 [6 per cell]
Nd 0.0486 0.6011 0.8816 [18 per cell]

---

Entry 15:
This record from the Alexandria database describes crystalline Tb3PmNd at its relaxed geometry. The functional is PBE.

a = 17.470 Å, b = 6.833 Å, c = 5.996 Å
α = 90.00°, β = 109.91°, γ = 90.00°
Space group C2/m (No. 12)
Symmetry-distinct sites (fractional):
Tb 0.154 0.237 0.404 [8 per cell]
Tb 0.229 0.500 0.978 [4 per cell]
Pm 0.049 0.000 0.799 [4 per cell]
Nd 0.000 0.500 0.000 [2 per cell]
Nd 0.000 0.500 0.500 [2 per cell]

---

Entry 16:
This record from the Alexandria database describes crystalline Tb3Pm3Nd5 at its relaxed geometry. The functional is PBE.

a = 11.4049 Å, b = 11.4049 Å, c = 3.4692 Å
α = 90.00°, β = 90.00°, γ = 120.00°
Space group P-62m (No. 189)
Symmetry-distinct sites (fractional):
Tb 0.0000 0.8408 0.0000 [3 per cell]
Pm 0.0000 0.5973 0.5000 [3 per cell]
Nd 0.0000 0.3384 0.0000 [3 per cell]
Nd 0.3333 0.6667 0.0000 [2 per cell]

---

Entry 17:
This record from the Alexandria database describes crystalline Tb6PmNd8 at its relaxed geometry. The functional is PBE.

a = 9.1982 Å, b = 9.1982 Å, c = 21.0038 Å
α = 90.00°, β = 90.00°, γ = 120.00°
Space group R-3 (No. 148, hexagonal axes)
Symmetry-distinct sites (fractional):
Tb 0.0470 0.2436 0.2060 [18 per cell]
Pm 0.0000 0.0000 0.5000 [3 per cell]
Nd 0.0000 0.0000 0.0777 [6 per cell]
Nd 0.0803 0.5568 0.3066 [18 per cell]

---

Entry 18:
This record from the Alexandria database describes crystalline TbPm4Nd2 at its relaxed geometry. The functional is PBE.

a = 5.431 Å, b = 11.515 Å, c = 15.591 Å
α = 90.00°, β = 90.00°, γ = 90.00°
Space group Cmce (No. 64)
Symmetry-distinct sites (fractional):
Tb 0.000 0.000 0.000 [4 per cell]
Pm 0.000 0.103 0.194 [8 per cell]
Pm 0.000 0.207 0.430 [8 per cell]
Nd 0.000 0.105 0.657 [8 per cell]

---

| no. | V (Å³/atom) | ΔE_f (meV per atom) |
| --- | --- | --- |
| 1 | 36.17 | 236.4 |
| 2 | 34.01 | 115.4 |
| 3 | 36.95 | 618.8 |
| 4 | 41.95 | 738.7 |
| 5 | 34.27 | 15.0 |
| 6 | 33.74 | 13.9 |
| 7 | 33.13 | 50.6 |
| 8 | 35.04 | 289.1 |
| 9 | 34.61 | 108.9 |
| 10 | 35.07 | 131.4 |
| 11 | 35.82 | 379.9 |
| 12 | 36.86 | 294.7 |
| 13 | 35.51 | 303.2 |
| 14 | 35.19 | 199.9 |
| 15 | 33.65 | 216.4 |
| 16 | 35.53 | 309.6 |
| 17 | 34.20 | 121.9 |
| 18 | 34.83 | 143.9 |